1.
A relaxed structure of CaEuInGa. Source: Alexandria, functional PBE.

Unit cell a=5.395 b=5.395 c=5.395 alpha=60.00 beta=60.00 gamma=60.00
Site moments in Bohr magnetons follow the coordinates.
Atoms (fractional coordinates):
1 Ga 0.250 0.250 0.250  0.00
2 Ca 0.500 0.500 0.500  0.00
3 Eu 0.000 0.000 0.000  6.82
4 In 0.750 0.750 0.750  0.01

## Properties
Density of states at the Fermi level = 5.554 states/eV/cell
ΔE_f = -1.83 eV/f.u.
M_tot = 7.066 μB per cell

=====

2.
A relaxed structure of CaEuGaIr. Source: Alexandria, functional PBE.

Unit cell a=5.037 b=5.037 c=5.037 alpha=60.00 beta=60.00 gamma=60.00
Site moments in Bohr magnetons follow the coordinates.
Atoms (fractional coordinates):
1 Ga 0.000 0.000 0.000  0.00
2 Ca 0.250 0.250 0.250  0.00
3 Eu 0.750 0.750 0.750  6.70
4 Ir 0.500 0.500 0.500  -0.12

## Properties
Density of states at the Fermi level = 5.752 states/eV/cell
ΔE_f = -1.19 eV/f.u.
M_tot = 6.740 μB per cell

=====

3.
A relaxed structure of CaLaEuGa. Source: Alexandria, functional PBE.

Unit cell a=5.604 b=5.604 c=5.604 alpha=60.00 beta=60.00 gamma=60.00
Site moments in Bohr magnetons follow the coordinates.
Atoms (fractional coordinates):
1 La 0.500 0.500 0.500  0.08
2 Ga 0.250 0.250 0.250  -0.03
3 Eu 0.000 0.000 0.000  6.91
4 Ca 0.750 0.750 0.750  0.05

## Properties
Density of states at the Fermi level = 9.651 states/eV/cell
ΔE_f = -0.49 eV/f.u.
M_tot = 7.486 μB per cell

=====

4.
A relaxed structure of LiCaEuGa. Source: Alexandria, functional PBE.

Unit cell a=5.355 b=5.355 c=5.355 alpha=60.00 beta=60.00 gamma=60.00
Site moments in Bohr magnetons follow the coordinates.
Atoms (fractional coordinates):
1 Ga 0.250 0.250 0.250  -0.04
2 Eu 0.000 0.000 0.000  6.83
3 Ca 0.500 0.500 0.500  0.00
4 Li 0.750 0.750 0.750  0.02

## Properties
Density of states at the Fermi level = 10.367 states/eV/cell
ΔE_f = -1.00 eV/f.u.
M_tot = 7.016 μB per cell

=====

5.
A relaxed structure of NaCaEuGa. Source: Alexandria, functional PBE.

Unit cell a=5.507 b=5.507 c=5.507 alpha=60.00 beta=60.00 gamma=60.00
Site moments in Bohr magnetons follow the coordinates.
Atoms (fractional coordinates):
1 Ga 0.250 0.250 0.250  -0.04
2 Na 0.750 0.750 0.750  0.01
3 Eu 0.000 0.000 0.000  6.86
4 Ca 0.500 0.500 0.500  0.00

## Properties
Density of states at the Fermi level = 12.362 states/eV/cell
ΔE_f = -0.66 eV/f.u.
M_tot = 7.003 μB per cell

=====

6.
A relaxed structure of CaEuGaNi. Source: Alexandria, functional PBE.

Unit cell a=5.076 b=5.076 c=5.076 alpha=60.00 beta=60.00 gamma=60.00
Site moments in Bohr magnetons follow the coordinates.
Atoms (fractional coordinates):
1 Eu 0.500 0.500 0.500  -6.75
2 Ca 0.000 0.000 0.000  0.00
3 Ga 0.750 0.750 0.750  -0.01
4 Ni 0.250 0.250 0.250  0.04

## Properties
Density of states at the Fermi level = 8.160 states/eV/cell
ΔE_f = -0.70 eV/f.u.
M_tot = 6.941 μB per cell

=====

7.
A relaxed structure of CaEuZrGaO6. Source: Alexandria, functional PBE.

Unit cell a=5.689 b=5.689 c=5.689 alpha=60.00 beta=60.00 gamma=60.00
Site moments in Bohr magnetons follow the coordinates.
Atoms (fractional coordinates):
1 O 0.243 0.243 0.757  -0.10
2 O 0.757 0.243 0.757  -0.10
3 O 0.243 0.757 0.757  -0.10
4 Ca 0.750 0.750 0.750  0.00
5 O 0.757 0.757 0.243  -0.10
6 Eu 0.250 0.250 0.250  6.51
7 O 0.243 0.757 0.243  -0.10
8 O 0.757 0.243 0.243  -0.10
9 Zr 0.500 0.500 0.500  0.02
10 Ga 0.000 0.000 0.000  0.01

## Properties
E_form (uncorrected) = -2610 meV per atom
Density of states at the Fermi level = 9.031 states/eV/cell
M_tot = 5.975 μB per cell

=====

8.
A relaxed structure of CaEuGaPd. Source: Alexandria, functional PBE.

Unit cell a=5.155 b=5.155 c=5.155 alpha=60.00 beta=60.00 gamma=60.00
Site moments in Bohr magnetons follow the coordinates.
Atoms (fractional coordinates):
1 Ca 0.500 0.500 0.500  0.00
2 Eu 0.000 0.000 0.000  6.76
3 Pd 0.750 0.750 0.750  -0.01
4 Ga 0.250 0.250 0.250  0.01

## Properties
Density of states at the Fermi level = 8.734 states/eV/cell
ΔE_f = -2.01 eV/f.u.
M_tot = 6.982 μB per cell

=====

9.
A relaxed structure of CaPmEuGa. Source: Alexandria, functional PBE.

Unit cell a=5.531 b=5.531 c=5.531 alpha=60.00 beta=60.00 gamma=60.00
Site moments in Bohr magnetons follow the coordinates.
Atoms (fractional coordinates):
1 Eu 0.000 0.000 0.000  6.89
2 Ca 0.250 0.250 0.250  0.05
3 Pm 0.500 0.500 0.500  0.09
4 Ga 0.750 0.750 0.750  -0.04

## Properties
Density of states at the Fermi level = 8.680 states/eV/cell
ΔE_f = -0.41 eV/f.u.
M_tot = 7.445 μB per cell

=====

10.
A relaxed structure of CaEuGaPt. Source: Alexandria, functional PBE.

Unit cell a=5.110 b=5.110 c=5.110 alpha=60.00 beta=60.00 gamma=60.00
Site moments in Bohr magnetons follow the coordinates.
Atoms (fractional coordinates):
1 Eu 0.000 0.000 0.000  6.74
2 Pt 0.250 0.250 0.250  -0.02
3 Ca 0.500 0.500 0.500  0.00
4 Ga 0.750 0.750 0.750  0.01

## Properties
Density of states at the Fermi level = 7.242 states/eV/cell
ΔE_f = -2.50 eV/f.u.
M_tot = 6.951 μB per cell

=====

11.
A relaxed structure of CaEuGaRh. Source: Alexandria, functional PBE.

Unit cell a=5.065 b=5.065 c=5.065 alpha=60.00 beta=60.00 gamma=60.00
Site moments in Bohr magnetons follow the coordinates.
Atoms (fractional coordinates):
1 Rh 0.750 0.750 0.750  -0.10
2 Ca 0.500 0.500 0.500  0.00
3 Eu 0.000 0.000 0.000  6.73
4 Ga 0.250 0.250 0.250  0.00

## Properties
Density of states at the Fermi level = 7.063 states/eV/cell
ΔE_f = -1.41 eV/f.u.
M_tot = 6.816 μB per cell

=====

12.
A relaxed structure of CaEuGaSi. Source: Alexandria, functional PBE.

Unit cell a=5.175 b=5.175 c=5.175 alpha=60.00 beta=60.00 gamma=60.00
Site moments in Bohr magnetons follow the coordinates.
Atoms (fractional coordinates):
1 Si 0.750 0.750 0.750  -0.02
2 Ga 0.250 0.250 0.250  0.01
3 Ca 0.000 0.000 0.000  0.00
4 Eu 0.500 0.500 0.500  6.75

## Properties
E_form (uncorrected) = -378 meV per atom
Density of states at the Fermi level = 3.089 states/eV/cell
M_tot = 6.889 μB per cell